# 1
PBE NpZn, relaxed; calculated formation energy = -0.054 eV/atom; symmetry = No. 11; spin magnetization = 0.156 μB per atom; theoretical density = 14.29 Mg/m³; DFT total energy = -7.0710 eV/atom
1.0
5.844 0.000 0.000
0.000 4.395 0.000
-2.608 0.000 8.211
Np Zn
6 6
direct
0.058 0.250 0.072
0.352 0.750 0.917
0.385 0.250 0.781
0.615 0.750 0.219
0.648 0.250 0.083
0.942 0.750 0.928
0.023 0.750 0.585
0.170 0.750 0.331
0.450 0.250 0.405
0.550 0.750 0.595
0.830 0.250 0.669
0.977 0.250 0.415

=====

# 2
PBE NdDyBi2Te2, relaxed; symmetry = No. 99; spin magnetization = 0.000 μB per atom; theoretical density = 8.77 Mg/m³; DFT total energy = -4.9980 eV/atom
1.0
4.427 0.000 0.000
0.000 4.427 0.000
0.000 0.000 9.468
Nd Dy Bi Te
1 1 2 2
direct
0.000 0.000 0.000
0.500 0.500 0.431
0.000 0.500 0.713
0.500 0.000 0.713
0.000 0.000 0.347
0.500 0.500 0.096

=====

# 3
PBE NbCu3Se4, relaxed; symmetry = No. 35; spin magnetization = 0.000 μB per atom; theoretical density = 5.48 Mg/m³; DFT total energy = -4.9187 eV/atom
1.0
3.986 -4.026 0.000
3.986 4.026 0.000
0.000 0.000 5.662
Nb Cu Se
1 3 4
direct
0.000 0.000 0.000
0.000 0.000 0.500
0.000 0.500 0.998
0.500 0.000 0.998
0.250 0.750 0.252
0.253 0.253 0.749
0.747 0.747 0.749
0.750 0.250 0.252

=====

# 4
PBE KDyO3, relaxed; symmetry = No. 99; spin magnetization = 0.400 μB per atom; theoretical density = 4.91 Mg/m³; DFT total energy = -5.9799 eV/atom
1.0
4.378 0.000 0.000
0.000 4.378 0.000
0.000 0.000 4.407
K Dy O
1 1 3
direct
0.000 0.000 0.000
0.500 0.500 0.501
0.000 0.500 0.505
0.500 0.000 0.505
0.500 0.500 0.002

=====

# 5
PBE Tm5Sn4, relaxed; symmetry = No. 193; spin magnetization = 0.001 μB per atom; theoretical density = 9.24 Mg/m³; DFT total energy = -4.9269 eV/atom
1.0
9.210 0.000 0.000
-4.605 7.976 0.000
0.000 0.000 6.455
Tm Sn
10 8
direct
0.000 0.272 0.250
0.000 0.728 0.750
0.272 0.000 0.250
0.272 0.272 0.750
0.333 0.667 0.000
0.333 0.667 0.500
0.667 0.333 0.000
0.667 0.333 0.500
0.728 0.000 0.750
0.728 0.728 0.250
0.000 0.000 0.000
0.000 0.000 0.500
0.000 0.387 0.750
0.000 0.613 0.250
0.387 0.000 0.750
0.387 0.387 0.250
0.613 0.000 0.250
0.613 0.613 0.750

=====

# 6
PBE Sr3LiFeC3N3, relaxed; symmetry = No. 176; spin magnetization = 0.000 μB per atom; theoretical density = 4.09 Mg/m³; DFT total energy = -6.7364 eV/atom
1.0
8.362 0.000 0.000
-4.181 7.241 0.000
0.000 0.000 5.411
Sr Li Fe C N
6 2 2 6 6
direct
0.085 0.691 0.250
0.309 0.395 0.250
0.395 0.085 0.750
0.605 0.915 0.250
0.691 0.605 0.750
0.915 0.309 0.750
0.000 0.000 0.000
0.000 0.000 0.500
0.333 0.667 0.750
0.667 0.333 0.250
0.155 0.723 0.750
0.277 0.432 0.750
0.432 0.155 0.250
0.568 0.845 0.750
0.723 0.568 0.250
0.845 0.277 0.250
0.045 0.787 0.750
0.213 0.258 0.750
0.258 0.045 0.250
0.742 0.955 0.750
0.787 0.742 0.250
0.955 0.213 0.250

=====

# 7
PBE Zr3BiH, relaxed; symmetry = No. 12; spin magnetization = 0.000 μB per atom; energy above the lowest structure with this stoichiometry = 0 meV/atom; theoretical density = 8.18 Mg/m³; DFT total energy = -6.9576 eV/atom
1.0
2.961 -6.775 0.000
2.961 6.775 0.000
-2.897 0.000 4.893
Zr Bi H
6 2 2
direct
0.109 0.891 0.000
0.247 0.753 0.500
0.296 0.296 0.600
0.704 0.704 0.400
0.753 0.247 0.500
0.891 0.109 0.000
0.333 0.667 0.000
0.667 0.333 0.000
0.281 0.281 0.230
0.719 0.719 0.770

=====

# 8
PBE FeBi, relaxed; symmetry = No. 63; spin magnetization = 1.235 μB per atom; theoretical density = 10.96 Mg/m³; DFT total energy = -5.8750 eV/atom
1.0
1.914 -5.054 0.000
1.914 5.054 0.000
0.000 0.000 4.148
Fe Bi
2 2
direct
0.064 0.936 0.750
0.936 0.064 0.250
0.356 0.644 0.750
0.644 0.356 0.250

=====

# 9
PBE PuIrW, relaxed; calculated formation energy = 0.760 eV/atom; symmetry = No. 216; spin magnetization = 1.287 μB per atom; energy above the lowest structure with this stoichiometry = 0 meV/atom; theoretical density = 17.23 Mg/m³; DFT total energy = -11.2207 eV/atom
1.0
0.000 3.103 3.103
3.103 0.000 3.103
3.103 3.103 0.000
Pu Ir W
1 1 1
direct
0.000 0.000 0.000
0.750 0.750 0.750
0.250 0.250 0.250

=====

# 10
PBE LiTlFeNi, relaxed; symmetry = No. 216; spin magnetization = 0.872 μB per atom; energy above the lowest structure with this stoichiometry = 0 meV/atom; theoretical density = 9.38 Mg/m³; DFT total energy = -4.3835 eV/atom
1.0
0.000 3.066 3.066
3.066 0.000 3.066
3.066 3.066 0.000
Li Tl Fe Ni
1 1 1 1
direct
0.000 0.000 0.000
0.250 0.250 0.250
0.750 0.750 0.750
0.500 0.500 0.500

=====

# 11
PBE LuTlOs, relaxed; symmetry = No. 216; spin magnetization = 0.007 μB per atom; theoretical density = 13.45 Mg/m³; DFT total energy = -5.3634 eV/atom
1.0
0.000 3.276 3.276
3.276 0.000 3.276
3.276 3.276 0.000
Lu Tl Os
1 1 1
direct
0.000 0.000 0.000
0.250 0.250 0.250
0.500 0.500 0.500

=====

# 12
PBE Nb2SbPd, relaxed; symmetry = No. 216; spin magnetization = 0.008 μB per atom; theoretical density = 9.41 Mg/m³; DFT total energy = -7.3274 eV/atom
1.0
0.000 3.318 3.318
3.318 0.000 3.318
3.318 3.318 0.000
Nb Sb Pd
2 1 1
direct
0.000 0.000 0.000
0.250 0.250 0.250
0.500 0.500 0.500
0.750 0.750 0.750